Compound: Cs8Rb3Na3
Source: Alexandria
Functional: GGA-PBE
Structure: optimized geometry

a = 13.8803 Å, b = 13.8803 Å, c = 13.5379 Å
α = 110.16°, β = 110.16°, γ = 32.52°
Closest atoms and distances in Å follow each position.
Positions (direct):
Cs 0.0108 0.0108 0.3214  2 Na 4.64, 3 Cs 4.90-5.07
Cs 0.1392 0.1392 0.0636  1 Na 4.17
Cs 0.3583 0.3583 0.1907  1 Na 4.52, 2 Rb 4.77
Cs 0.3697 0.3697 0.6197  4 Na 4.13-4.50
Cs 0.6303 0.6303 0.3803  4 Na 4.13-4.50
Cs 0.6417 0.6417 0.8093  1 Na 4.52, 2 Rb 4.77
Cs 0.8608 0.8608 0.9364  1 Na 4.17
Cs 0.9892 0.9892 0.6786  2 Na 4.64, 3 Cs 4.90-5.07
Rb 0.2055 0.2055 0.6869  1 Na 4.13
Rb 0.5000 0.5000 0.0000  8 Cs 5.07-5.28
Rb 0.7945 0.7945 0.3131  1 Na 4.13
Na 0.2174 0.2174 0.3913  4 Cs 4.13-4.50, 1 Rb 4.13
Na 0.5000 0.5000 0.5000  8 Cs 4.33-4.64
Na 0.7826 0.7826 0.6087  4 Cs 4.13-4.50, 1 Rb 4.13

Values from the calculation:
M_tot ... 0.0 μB per formula unit
Theoretical density ... 1.76 g/cm3
Electronic total energy ... -13.23 eV for the cell shown
SG ... C2/m, No. 12
Formation energy from the elements ... 32.5 meV per atom